# Ca3Ce2TmP6

A geometry-optimized Ca3Ce2TmP6 structure (PBE-GGA, the Alexandria database).

Geometry as POSCAR:
```
Ca3Ce2TmP6
1.0
7.1108 -0.0033 0.0003
-3.5565 6.1575 0.0003
-1.1857 -2.0530 6.6428
P Ce Ca Tm
6 2 3 1
direct
0.0774 0.4097 0.2325 P
0.7454 0.7454 0.2330 P
0.4097 0.0774 0.2325 P
0.9226 0.5903 0.7675 P
0.2546 0.2546 0.7670 P
0.5903 0.9226 0.7675 P
0.3335 0.6665 0.0000 Ce
0.6665 0.3335 0.0000 Ce
0.8336 0.1664 0.5000 Ca
0.5000 0.5000 0.5000 Ca
0.1664 0.8336 0.5000 Ca
0.0000 0.0000 0.0000 Tm
```

Raw total energy in eV per formula unit: -70.016
Calculated volume in Å³/atom: 24.23
ΔH_f (0 K) in eV per atom: -1.2678
DOS at the Fermi energy in states/eV/f.u.: 12.25